# 1
VASP calculation (PBE) on a geometry-optimized ScZn2Ag2 structure.

```
ScZn2Ag2
1.0
7.6900 0.0000 0.0000
0.0000 7.6900 0.0000
0.0000 0.0000 2.9757
Sc Zn Ag
2 4 4
direct
0.0000 0.0000 0.0000 Sc
0.5000 0.5000 0.0000 Sc
0.1210 0.3790 0.0000 Zn
0.3790 0.8790 0.0000 Zn
0.6210 0.1210 0.0000 Zn
0.8790 0.6210 0.0000 Zn
0.1770 0.6770 0.5000 Ag
0.3230 0.1770 0.5000 Ag
0.6770 0.8230 0.5000 Ag
0.8230 0.3230 0.5000 Ag
```

Computed properties:
**Energy of formation from the pure elements**: -0.098 eV/atom
**SG**: P4/mbm, No. 127
**Raw total energy**: -0.222 Ry per atom


# 2
VASP calculation (PBE) on a geometry-optimized TaTeBrF2 structure.

```
TaTeBrF2
1.0
4.2693 0.0000 0.0000
0.0000 4.2693 0.0000
0.0000 0.0000 5.4174
Ta Te Br F
1 1 1 2
direct
0.0000 0.0000 0.0000 Ta
0.0000 0.0000 0.5000 Te
0.5000 0.5000 0.5000 Br
0.0000 0.5000 0.0000 F
0.5000 0.0000 0.0000 F
```

Computed properties:
**SG**: P4/mmm, No. 123
**Raw formation energy**: -1290.2 meV per atom
**Raw total energy**: -0.395 Ry per atom